[1]
Computed, not measured: an optimized crystal structure of BaAc2PrBi4 at the PBE level of DFT.

Values from the calculation:
SG = P2/m (10)
Mass density = 7.984 Mg/m³
Energy = -4.70 eV per atom
M_tot = 0.000 μB per formula unit

Structure (POSCAR):
```
BaAc2PrBi4
1.0
8.3980 0.0000 0.0000
0.0000 4.8628 0.0000
-2.8097 0.0000 7.9862
Ba Ac Pr Bi
1 2 1 4
direct
0.0000 0.0000 0.0000 Ba
0.5000 0.0000 0.5000 Ac
0.5000 0.5000 0.0000 Ac
0.0000 0.5000 0.5000 Pr
0.2443 0.0000 0.7382 Bi
0.2527 0.5000 0.2626 Bi
0.7473 0.5000 0.7374 Bi
0.7557 0.0000 0.2618 Bi
```

[2]
Computed, not measured: an optimized crystal structure of ScPO2F at the PBE level of DFT.

Values from the calculation:
SG = P4/mmm (123)
Mass density = 3.382 Mg/m³
M_tot = 0.806 μB per formula unit
Formation energy from raw total energies = -0.316 eV per atom

Structure (POSCAR):
```
ScPO2F
1.0
4.2367 0.0000 0.0000
0.0000 4.2367 0.0000
0.0000 0.0000 3.4718
Sc P O F
1 1 2 1
direct
0.0000 0.0000 0.0000 Sc
0.5000 0.5000 0.0000 P
0.0000 0.5000 0.5000 O
0.5000 0.0000 0.5000 O
0.5000 0.5000 0.5000 F
```

[3]
Computed, not measured: an optimized crystal structure of Rb2BaLi at the PBE level of DFT.

Values from the calculation:
SG = I-42d (122)
Mass density = 1.963 Mg/m³
M_tot = 0.001 μB per formula unit
ΔE to the lowest computed polymorph = 67 meV/atom

Structure (POSCAR):
```
Rb2BaLi
1.0
11.4769 0.0000 0.0000
0.0000 11.4769 0.0000
0.0000 0.0000 8.0960
Rb Ba Li
8 4 4
direct
0.1889 0.2500 0.1250 Rb
0.2500 0.6889 0.3750 Rb
0.2500 0.8111 0.8750 Rb
0.3111 0.2500 0.6250 Rb
0.6889 0.7500 0.6250 Rb
0.7500 0.1889 0.8750 Rb
0.7500 0.3111 0.3750 Rb
0.8111 0.7500 0.1250 Rb
0.0000 0.0000 0.5000 Ba
0.0000 0.5000 0.7500 Ba
0.5000 0.0000 0.2500 Ba
0.5000 0.5000 0.0000 Ba
0.0000 0.0000 0.0000 Li
0.0000 0.5000 0.2500 Li
0.5000 0.0000 0.7500 Li
0.5000 0.5000 0.5000 Li
```

Question: What is the M_tot in the second record?
Answer: 0.806 μB per formula unit

Question: What is the mass density in the first record?
Answer: 7.984 Mg/m³

Question: Which value of mass density does entry 2 give?
Answer: 3.382 Mg/m³